Entry from Alexandria: a relaxed structure of NbTlCrO4 (PBE+U).

Properties
E_tot in eV/f.u.: -52.668

Cell: 5.645 6.030 9.567 Å, 90.00 120.03 90.00°
Site moments in Bohr magnetons follow the coordinates.
Fractional positions:
O: 0.056 0.514 0.372  -0.01
O: 0.515 0.250 0.708  0.00
O: 0.944 0.486 0.628  -0.01
Cr: 0.922 0.750 0.488  3.74
Cr: 0.078 0.250 0.512  3.74
O: 0.056 0.986 0.372  -0.01
Tl: 0.280 0.750 0.959  0.00
O: 0.895 0.750 0.049  0.01
O: 0.944 0.014 0.628  -0.01
Nb: 0.140 0.750 0.269  0.07
O: 0.105 0.250 0.951  0.01
Tl: 0.720 0.250 0.041  0.00
O: 0.485 0.750 0.292  0.00
Nb: 0.860 0.250 0.731  0.07